No. 1
VASP calculation (PBE-GGA) on an optimized crystal structure of BaCdRu.

```
3
Lattice="-1.1294 -6.1388 0.4465 0.0173 -5.4701 -3.0394 3.2474 -1.6763 0.7465" Properties=species:S:1:pos:R:3 pbc="T T T"
Ba 3.2235 -1.7308 0.7281
Cd 2.0032 -4.5111 -0.2066
Ru 0.1561 -8.7195 -1.6215
```

Results
Crystal system   tetragonal
Space-group type   I4mm
Density   7.4 g/cm3
Total energy   -10.990 eV/cell
E_form   0.375 eV per atom
Density of states at the Fermi level   2.08 states/eV per cell

No. 2
VASP calculation (PBE-GGA) on an optimized crystal structure of BaCdRu.

```
3
Lattice="-2.6768 -2.7058 -2.7102 4.5328 0.5456 -0.9940 1.0255 -3.6771 2.6583" Properties=species:S:1:pos:R:3 pbc="T T T"
Ba 0.0001 -0.0005 0.0004
Cd 0.2390 -3.4600 -0.8094
Ru 2.6424 -2.3769 -0.2368
```

Results
Crystal system   hexagonal
Space-group type   P-6m2
Density   6.6 g/cm3
Total energy   -10.922 eV/cell
E_form   0.397 eV per atom
Density of states at the Fermi level   4.44 states/eV per cell